The following is a DFT calculation (GGA+U) of a relaxed GaSnWO6 crystal.

Structure (POSCAR):
```
GaSnWO6
1.0
5.1846 0.0000 0.0000
-2.5923 4.4900 0.0000
0.0000 0.0000 9.4715
Ga Sn W O
2 2 2 12
Cartesian
0.0000 2.9934 2.3679
2.5923 1.4967 7.1036
0.0000 0.0000 0.0000
0.0000 0.0000 4.7358
0.0000 2.9934 7.1036
2.5923 1.4967 2.3679
-0.9085 1.6283 6.0229
-1.6364 2.8891 8.1843
0.9085 1.6283 8.1843
-0.7279 4.4627 6.0229
1.8644 0.0274 1.2872
0.9559 1.6009 3.4486
1.6364 2.8891 6.0229
0.7279 4.4627 8.1843
3.3202 0.0274 3.4486
1.6838 2.8617 1.2872
4.2287 1.6009 1.2872
3.5008 2.8617 3.4486
```

The raw total energy is -0.2418 Ha/atom. The calculation puts the density of states at the Fermi level at 5.42 states/eV/cell.